CsCrPb2O4: optimized geometry, PBE+U.

For the calculated total energy, the calculation gives -5.655 eV/atom. The value obtained for the density of states at the Fermi level is 1.410 states/eV/cell.

Lattice parameters (Å, degrees): 5.9848 5.9848 5.5191 106.23 106.23 105.63
Fractional coordinates of all 8 atoms:
Cs1 0.0000 0.0000 0.0000
Cr1 0.5306 0.5306 0.0726
Pb1 0.2606 0.7141 0.5270
Pb2 0.7141 0.2606 0.5270
O1 0.2389 0.5496 0.0972
O2 0.5141 0.5141 0.7248
O3 0.5496 0.2389 0.0972
O4 0.7863 0.7863 0.3378